[1]
10
Lattice="4.178 0.000 0.000 0.000 4.178 0.000 0.000 0.000 9.477" Properties=species:S:1:pos:R:3 comment="Ce2P4Ir3Ru | Alexandria via LeMat-Bulk | PBE | relaxed" dos_ef_per_ev_cell=4.35 energy_ev_per_cell=-80.0 density_g_cm3=10.86 formation_enthalpy_0k_ev_per_atom=-1.0660 magmom_total_mub_per_cell=0.0 pbc="T T T"
Ce 0.000 2.089 2.309
Ce 2.089 0.000 7.168
P 0.000 0.000 0.000
P 0.000 2.089 6.016
P 2.089 0.000 3.461
P 2.089 2.089 0.000
Ir 0.000 2.089 8.396
Ir 2.089 0.000 1.081
Ir 2.089 2.089 4.739
Ru 0.000 0.000 4.739

[2]
8
Lattice="-4.054 4.054 2.930 4.054 -4.054 2.930 4.054 4.054 -2.930" Properties=species:S:1:pos:R:3 comment="Zr2ScIn | Alexandria via LeMat-Bulk | PBE | relaxed" dos_ef_per_ev_cell=9.50 energy_ev_per_cell=-50.4 density_g_cm3=5.90 formation_enthalpy_0k_ev_per_atom=0.2422 magmom_total_mub_per_cell=0.0 pbc="T T T"
Zr 6.080 1.943 -0.732
Zr 1.943 2.027 0.732
Zr -2.027 2.110 2.197
Zr 2.110 2.027 3.662
Sc 4.054 0.000 1.465
Sc 0.000 0.000 2.930
In 0.000 0.000 0.000
In 0.000 4.054 1.465

[3]
5
Lattice="3.646 -2.102 0.000 3.646 2.102 0.000 -2.637 0.000 11.628" Properties=species:S:1:pos:R:3 comment="Pm2IrI2 | Alexandria via LeMat-Bulk | PBE | relaxed" dos_ef_per_ev_cell=2.73 energy_ev_per_cell=-26.8 density_g_cm3=6.86 de_polymorph_mev_per_atom=0.0 e_form_raw_mev_per_atom=-1062 magmom_total_mub_per_cell=0.0 pbc="T T T"
Pm -0.101 0.000 4.242
Pm 4.756 0.000 7.385
Ir 2.328 0.000 5.814
I -0.109 0.000 9.560
I 4.764 0.000 2.068